[1]
Here is AlTe2C after structural relaxation from the Alexandria database. Energies are from PBE.

Calculated values
Distance to the lowest polymorph of the same formula = 203 meV/atom
Formation energy without anion corrections = 453 kJ/mol of formula units

Cell lengths 9.220, 9.220, 9.220 Å; angles 20.80, 20.80, 20.80 degrees
Element x y z (fractional)
C 0.500 0.500 0.500
Te 0.891 0.891 0.891
Te 0.109 0.109 0.109
Al 0.000 0.000 0.000

[2]
Here is SrCd2Ga2 after structural relaxation from the Alexandria database. Energies are from PBE.

Calculated values
Energy relative to the elements = -350 meV/atom
Distance to the lowest polymorph of the same formula = 0 meV/atom

Cell lengths 4.575, 4.575, 6.599 Å; angles 69.72, 69.72, 90.00 degrees
Element x y z (fractional)
Sr 0.000 0.000 0.000
Ga 0.391 0.391 0.218
Ga 0.609 0.609 0.782
Cd 0.750 0.250 0.500
Cd 0.250 0.750 0.500

[3]
Here is CaY3Ir after structural relaxation from the Alexandria database. Energies are from PBE.

Calculated values
Energy relative to the elements = -115 meV/atom
Distance to the lowest polymorph of the same formula = 288 meV/atom

Cell lengths 10.337, 10.337, 10.337 Å; angles 60.00, 60.00, 60.00 degrees
Element x y z (fractional)
Y 0.686 0.314 0.314
Y 0.936 0.564 0.564
Y 0.564 0.564 0.936
Y 0.564 0.936 0.936
Y 0.936 0.564 0.936
Y 0.686 0.314 0.686
Y 0.564 0.936 0.564
Y 0.936 0.936 0.564
Y 0.314 0.686 0.314
Y 0.314 0.686 0.686
Y 0.314 0.314 0.686
Y 0.686 0.686 0.314
Ca 0.125 0.125 0.125
Ca 0.125 0.625 0.125
Ca 0.625 0.125 0.125
Ca 0.125 0.125 0.625
Ir 0.625 0.625 0.625
Ir 0.625 0.125 0.625
Ir 0.125 0.625 0.625
Ir 0.625 0.625 0.125

[4]
Here is Ce2InN after structural relaxation from the Alexandria database. Energies are from PBE.

Calculated values
Formation energy without anion corrections = -329 kJ/mol of formula units

Cell lengths 3.536, 3.536, 8.597 Å; angles 78.13, 78.13, 60.00 degrees
Last column: magnetic moment on the atom in μB.
Element x y z (fractional)
N 0.500 0.500 0.500  -0.01
Ce 0.777 0.777 0.668  0.29
Ce 0.223 0.223 0.332  0.29
In 0.000 0.000 0.000  -0.01

[5]
Here is NaAs2Pt5 after structural relaxation from the Alexandria database. Energies are from PBE.

Calculated values
Energy relative to the elements = -295 meV/atom

Cell lengths 4.000, 6.381, 6.381 Å; angles 70.48, 71.73, 71.73 degrees
Element x y z (fractional)
Na 0.000 0.000 0.000
As 0.742 0.758 0.758
As 0.258 0.242 0.242
Pt 0.000 0.500 0.500
Pt 0.647 0.550 0.156
Pt 0.353 0.450 0.844
Pt 0.353 0.844 0.450
Pt 0.647 0.156 0.550

[6]
Here is Cs2KIn2Cl6 after structural relaxation from the Alexandria database. Energies are from PBE.

Calculated values
Formation energy without anion corrections = -1543 kJ/mol of formula units

Cell lengths 8.019, 7.508, 9.576 Å; angles 112.30, 90.00, 122.27 degrees
Last column: magnetic moment on the atom in μB.
Element x y z (fractional)
Cs 0.700 0.400 0.168  0.00
Cs 0.300 0.600 0.832  0.00
K 0.500 0.000 0.500  0.00
In 0.944 0.889 0.825  0.16
In 0.056 0.111 0.175  0.16
Cl 0.764 0.528 0.556  0.07
Cl 0.192 0.875 0.203  0.02
Cl 0.317 0.125 0.797  0.02
Cl 0.808 0.125 0.797  0.02
Cl 0.683 0.875 0.203  0.02
Cl 0.236 0.472 0.444  0.07

no.,DFT total energy (hartree per atom),D(E_F) (states/eV per cell)
1,-0.1337,1.975
2,-0.0832,1.894
3,-0.2266,16.168
4,-0.2420,6.982
5,-0.1984,4.562
6,-0.1181,3.475